[1]
# Tc3Ge2 (PBE, relaxed)
data_Tc3Ge2
_chemical_formula_sum 'Tc6 Ge4'
_cell_length_a 6.9913
_cell_length_b 6.9913
_cell_length_c 3.0234
_cell_angle_alpha 90.00
_cell_angle_beta 90.00
_cell_angle_gamma 90.00
_symmetry_space_group_name_H-M 'P 4/m b m'
_symmetry_Int_Tables_number 127
_symmetry_space_group_name_Hall '-P 4 2ab'
loop_
_atom_site_label
_atom_site_type_symbol
_atom_site_fract_x
_atom_site_fract_y
_atom_site_fract_z
Tc1 Tc 0.0000 0.0000 0.0000
Tc2 Tc 0.1505 0.3495 0.5000
Ge1 Ge 0.1487 0.6487 0.0000
# energy	-39.74	eV per formula unit

[2]
# H3AuC2S2 (PBE, relaxed)
data_H3AuC2S2
_chemical_formula_sum 'H24 Au8 C16 S16'
_cell_length_a 20.7491
_cell_length_b 4.3541
_cell_length_c 11.9912
_cell_angle_alpha 90.00
_cell_angle_beta 114.74
_cell_angle_gamma 90.00
_symmetry_space_group_name_H-M 'C 1 2/c 1'
_symmetry_Int_Tables_number 15
loop_
_symmetry_equiv_pos_as_xyz
'x,y,z'
'-x,-y,-z'
'-x,y,-z+1/2'
'x,-y,z+1/2'
'x+1/2,y+1/2,z'
'-x+1/2,-y+1/2,-z'
'-x+1/2,y+1/2,-z+1/2'
'x+1/2,-y+1/2,z+1/2'
loop_
_atom_site_label
_atom_site_type_symbol
_atom_site_fract_x
_atom_site_fract_y
_atom_site_fract_z
H1 H 0.2133 0.0617 0.0098
H2 H 0.2215 0.1534 0.1605
H3 H 0.2466 0.2963 0.3684
Au1 Au 0.0023 0.4026 0.6177
C1 C 0.1395 0.1799 0.5625
C2 C 0.2108 0.0318 0.5929
S1 S 0.1053 0.3563 0.4243
S2 S 0.1090 0.1399 0.6716
# energy	-40.31	eV per formula unit

[3]
# HfHgOs2 (PBE, relaxed)
data_HfHgOs2
_chemical_formula_sum 'Hf4 Hg4 Os8'
_cell_length_a 6.5139
_cell_length_b 6.5139
_cell_length_c 6.5139
_cell_angle_alpha 90.00
_cell_angle_beta 90.00
_cell_angle_gamma 90.00
_symmetry_space_group_name_H-M 'F -4 3 m'
_symmetry_Int_Tables_number 216
_symmetry_space_group_name_Hall 'F -4 2 3'
loop_
_atom_site_label
_atom_site_type_symbol
_atom_site_fract_x
_atom_site_fract_y
_atom_site_fract_z
Hf1 Hf 0.0000 0.0000 0.0000
Hg1 Hg 0.2500 0.2500 0.7500
Os1 Os 0.0000 0.0000 0.5000
Os2 Os 0.2500 0.2500 0.2500
# DFT formation energy	2.022	eV/f.u.